(1)
Computed, not measured: crystalline Pu2TlBr6 at its relaxed geometry at the GGA-PBE level of DFT.

The space group is P-31m (No. 162) and the conventional cell measures 7.5807, 7.5807 and 7.1906 Å, with angles of 90.00, 90.00 and 120.00 degrees. The distinct sites, in fractional coordinates, are Pu at (0.3333, 0.6667, 0.0000), Tl at (0.0000, 0.0000, 0.5000) and Br at (0.0000, 0.3686, 0.7660).

For the magnetization, the calculation gives 1.22 μB per atom. As for the formation energy (no corrections): -1.41 eV per atom.

(2)
Computed, not measured: crystalline Pu2TlBr8 at its relaxed geometry at the GGA-PBE level of DFT.

The space group is P-3m1 (No. 164) and the conventional cell measures 9.9266, 9.9266 and 5.6883 Å, with angles of 90.00, 90.00 and 120.00 degrees. The distinct sites, in fractional coordinates, are Pu at (0.3333, 0.6667, 0.2587), Tl at (0.0000, 0.0000, 0.0000), Br at (0.1760, 0.3519, 0.2657) and Br at (0.3333, 0.6667, 0.7606).

For the magnetization, the calculation gives 0.82 μB per atom. As for the formation energy (no corrections): -1.17 eV per atom.

(3)
Computed, not measured: crystalline PuTl2Br5 at its relaxed geometry at the GGA-PBE level of DFT.

The space group is Pnma (No. 62) and the conventional cell measures 13.712, 9.155 and 8.604 Å, with angles of 90.00, 90.00 and 90.00 degrees. The distinct sites, in fractional coordinates, are Pu at (0.003, 0.250, 0.065), Tl at (0.170, 0.005, 0.559), Br at (0.006, 0.250, 0.417), Br at (0.077, 0.542, 0.166), Br at (0.182, 0.250, 0.883) and Br at (0.203, 0.750, 0.844).

For the magnetization, the calculation gives 0.63 μB per atom. As for the formation energy (no corrections): -1.21 eV per atom.